1.
Here is a relaxed PuScAl crystal from OQMD. Energies are from PBE.

CIF file:
```
data_PuScAl
_chemical_formula_sum 'Pu4 Sc4 Al4'
_cell_length_a 6.850
_cell_length_b 6.850
_cell_length_c 6.850
_cell_angle_alpha 90.00
_cell_angle_beta 90.00
_cell_angle_gamma 90.00
_symmetry_space_group_name_H-M 'F -4 3 m'
_symmetry_Int_Tables_number 216
_symmetry_space_group_name_Hall 'F -4 2 3'
loop_
_atom_site_label
_atom_site_fract_x
_atom_site_fract_y
_atom_site_fract_z
Pu1 0.000 0.000 0.000
Sc1 0.000 0.000 0.500
Al1 0.250 0.250 0.250
```

raw total energy = -94.97 eV/cell

2.
Here is a relaxed TaRe2Ag crystal from OQMD. Energies are from PBE.

CIF file:
```
data_TaRe2Ag
_chemical_formula_sum 'Ta4 Re8 Ag4'
_cell_length_a 6.375
_cell_length_b 6.375
_cell_length_c 6.375
_cell_angle_alpha 90.00
_cell_angle_beta 90.00
_cell_angle_gamma 90.00
_symmetry_space_group_name_H-M 'F -4 3 m'
_symmetry_Int_Tables_number 216
_symmetry_space_group_name_Hall 'F -4 2 3'
loop_
_atom_site_label
_atom_site_fract_x
_atom_site_fract_y
_atom_site_fract_z
Ta1 0.000 0.000 0.000
Re1 0.000 0.000 0.500
Re2 0.250 0.250 0.750
Ag1 0.250 0.250 0.250
```

DFT formation energy = 1.86 eV per formula unit

3.
Here is a relaxed GdMgB5O10 crystal from OQMD. Energies are from PBE.

CIF file:
```
data_GdMgB5O10
_chemical_formula_sum 'Gd4 Mg4 B20 O40'
_cell_length_a 8.549
_cell_length_b 7.548
_cell_length_c 12.259
_cell_angle_alpha 90.00
_cell_angle_beta 130.55
_cell_angle_gamma 90.00
_symmetry_space_group_name_H-M 'P 1 21/c 1'
_symmetry_Int_Tables_number 14
loop_
_symmetry_equiv_pos_as_xyz
'x,y,z'
'-x,-y,-z'
'-x,y+1/2,-z+1/2'
'x,-y+1/2,z+1/2'
loop_
_atom_site_label
_atom_site_fract_x
_atom_site_fract_y
_atom_site_fract_z
Gd1 0.053 0.188 0.237
Mg1 0.476 0.590 0.873
B1 0.090 0.672 0.608
B2 0.154 0.597 0.998
B3 0.275 0.032 0.053
B4 0.346 0.578 0.262
B5 0.479 0.190 0.913
O1 0.023 0.725 0.983
O2 0.090 0.104 0.913
O3 0.116 0.544 0.878
O4 0.202 0.715 0.237
O5 0.234 0.525 0.648
O6 0.314 0.087 0.807
O7 0.317 0.534 0.132
O8 0.323 0.630 0.508
O9 0.424 0.147 0.427
O10 0.448 0.153 0.130
```

raw total energy = -539.66 eV/cell

4.
Here is a relaxed LiZnCdAg crystal from OQMD. Energies are from PBE.

CIF file:
```
data_LiZnCdAg
_chemical_formula_sum 'Li4 Zn4 Cd4 Ag4'
_cell_length_a 6.445
_cell_length_b 6.445
_cell_length_c 6.445
_cell_angle_alpha 90.00
_cell_angle_beta 90.00
_cell_angle_gamma 90.00
_symmetry_space_group_name_H-M 'F -4 3 m'
_symmetry_Int_Tables_number 216
_symmetry_space_group_name_Hall 'F -4 2 3'
loop_
_atom_site_label
_atom_site_fract_x
_atom_site_fract_y
_atom_site_fract_z
Li1 0.000 0.000 0.000
Zn1 0.000 0.000 0.500
Cd1 0.250 0.250 0.750
Ag1 0.250 0.250 0.250
```

raw total energy = -30.65 eV/cell

5.
Here is a relaxed FeReHgPb crystal from OQMD. Energies are from PBE.

CIF file:
```
data_FeReHgPb
_chemical_formula_sum 'Fe4 Re4 Hg4 Pb4'
_cell_length_a 6.613
_cell_length_b 6.613
_cell_length_c 6.613
_cell_angle_alpha 90.00
_cell_angle_beta 90.00
_cell_angle_gamma 90.00
_symmetry_space_group_name_H-M 'F -4 3 m'
_symmetry_Int_Tables_number 216
_symmetry_space_group_name_Hall 'F -4 2 3'
loop_
_atom_site_label
_atom_site_fract_x
_atom_site_fract_y
_atom_site_fract_z
Fe1 0.000 0.000 0.000
Re1 0.000 0.000 0.500
Hg1 0.250 0.250 0.250
Pb1 0.250 0.250 0.750
```

raw total energy = -82.80 eV/cell

6.
Here is a relaxed PdF2 crystal from OQMD. Energies are from PBE.

CIF file:
```
data_PdF2
_chemical_formula_sum 'Pd3 F6'
_cell_length_a 3.4851
_cell_length_b 3.4851
_cell_length_c 10.8403
_cell_angle_alpha 90.00
_cell_angle_beta 90.00
_cell_angle_gamma 120.00
_symmetry_space_group_name_H-M 'R -3 m'
_symmetry_Int_Tables_number 166
_symmetry_space_group_name_Hall '-R 3 2"'
loop_
_atom_site_label
_atom_site_fract_x
_atom_site_fract_y
_atom_site_fract_z
Pd1 0.0000 0.0000 0.0000
F1 0.0000 0.0000 0.2588
```

raw total energy = -35.18 eV/cell

7.
Here is a relaxed LaTlOs2 crystal from OQMD. Energies are from PBE.

CIF file:
```
data_LaTlOs2
_chemical_formula_sum 'La4 Tl4 Os8'
_cell_length_a 6.907
_cell_length_b 6.907
_cell_length_c 6.907
_cell_angle_alpha 90.00
_cell_angle_beta 90.00
_cell_angle_gamma 90.00
_symmetry_space_group_name_H-M 'F -4 3 m'
_symmetry_Int_Tables_number 216
_symmetry_space_group_name_Hall 'F -4 2 3'
loop_
_atom_site_label
_atom_site_fract_x
_atom_site_fract_y
_atom_site_fract_z
La1 0.000 0.000 0.000
Tl1 0.250 0.250 0.750
Os1 0.000 0.000 0.500
Os2 0.250 0.250 0.250
```

raw total energy = -105.38 eV/cell

8.
Here is a relaxed LaSnAuSe3 crystal from OQMD. Energies are from PBE.

CIF file:
```
data_LaSnAuSe3
_chemical_formula_sum 'La4 Sn4 Au4 Se12'
_cell_length_a 11.745
_cell_length_b 4.319
_cell_length_c 12.228
_cell_angle_alpha 90.00
_cell_angle_beta 90.00
_cell_angle_gamma 90.00
_symmetry_space_group_name_H-M 'P n m a'
_symmetry_Int_Tables_number 62
loop_
_symmetry_equiv_pos_as_xyz
'x,y,z'
'-x,-y,-z'
'-x+1/2,-y,z+1/2'
'x+1/2,y,-z+1/2'
'x+1/2,-y+1/2,-z+1/2'
'-x+1/2,y+1/2,z+1/2'
'-x,y+1/2,-z'
'x,-y+1/2,z'
loop_
_atom_site_label
_atom_site_fract_x
_atom_site_fract_y
_atom_site_fract_z
La1 0.018 0.250 0.193
Sn1 0.189 0.250 0.486
Au1 0.240 0.750 0.294
Se1 0.034 0.750 0.373
Se2 0.094 0.250 0.940
Se3 0.216 0.750 0.670
```

raw total energy = -112.68 eV/cell